First-principles (GGA-PBEsol) data for an optimized crystal structure of TaReRu2, as listed in Alexandria.

Cell and atoms, written as POSCAR:
```
TaReRu2
1.0
-1.691 -0.182 2.192
-2.803 -2.920 -2.404
3.286 -2.544 2.323
Ru Ta Re
2 1 1
Direct
0.500 0.000 0.500 Ru
0.000 0.000 0.000 Ru
0.500 0.500 0.000 Ta
0.000 0.500 0.500 Re
```

D(E_F) = 4.4 states/eV/f.u.
space-group type = P2/m
ΔH_f (0 K) = 0.02 eV/f.u.
mass density = 16098 kg/m³

---

First-principles (GGA-PBEsol) data for an optimized crystal structure of BeMoAs2, as listed in Alexandria.

Cell and atoms, written as POSCAR:
```
BeMoAs2
1.0
-2.287 3.201 1.170
-2.169 -3.719 -1.264
-1.686 -2.287 2.961
Mo Be As
1 1 2
Direct
0.000 0.000 0.000 Mo
0.500 0.000 0.500 Be
0.750 0.500 0.750 As
0.250 0.500 0.250 As
```

D(E_F) = 3.9 states/eV/f.u.
space-group type = I4/mmm
ΔH_f (0 K) = 1.29 eV/f.u.
mass density = 7339 kg/m³

---

First-principles (GGA-PBEsol) data for an optimized crystal structure of RbH2OF, as listed in Alexandria.

Cell and atoms, written as POSCAR:
```
RbH2OF
1.0
-0.411 -3.936 1.222
4.729 -2.320 -5.883
6.612 0.855 4.978
H O Rb F
8 4 4 4
Direct
0.056 0.035 0.737 H
0.056 0.535 0.763 H
0.556 0.465 0.237 H
0.444 0.535 0.763 H
0.444 0.035 0.737 H
0.556 0.965 0.263 H
0.944 0.965 0.263 H
0.944 0.465 0.237 H
0.750 0.999 0.198 O
0.250 0.001 0.802 O
0.750 0.499 0.302 O
0.250 0.501 0.698 O
0.250 0.245 0.459 Rb
0.250 0.745 0.041 Rb
0.750 0.255 0.959 Rb
0.750 0.755 0.541 Rb
0.250 0.903 0.356 F
0.750 0.097 0.644 F
0.750 0.597 0.856 F
0.250 0.403 0.144 F
```

raw total energy = -4.6899 eV per atom
D(E_F) = 0.0 states/eV/f.u.
space-group type = Pnma
mass density = 2989 kg/m³

---

First-principles (GGA-PBEsol) data for an optimized crystal structure of MgTlIr3, as listed in Alexandria.

Cell and atoms, written as POSCAR:
```
MgTlIr3
1.0
-4.190 1.012 2.317
-2.291 -3.417 -2.650
1.070 -3.354 3.399
Mg Ir Tl
1 3 1
Direct
0.500 0.500 0.500 Mg
0.000 0.000 0.500 Ir
0.000 0.500 0.000 Ir
0.500 0.000 0.000 Ir
0.000 0.000 0.000 Tl
```

D(E_F) = 9.6 states/eV/f.u.
space-group type = Pm-3m
ΔH_f (0 K) = 10.57 eV/f.u.
mass density = 11412 kg/m³

---

First-principles (GGA-PBEsol) data for an optimized crystal structure of GaTeSeN2, as listed in Alexandria.

Cell and atoms, written as POSCAR:
```
GaTeSeN2
1.0
-1.784 3.482 -0.778
-2.387 -1.811 -2.633
-3.370 -0.905 3.678
Se Ga Te N
1 1 1 2
Direct
0.000 0.000 0.500 Se
0.000 0.000 0.000 Ga
0.500 0.500 0.500 Te
0.000 0.500 0.000 N
0.500 0.000 0.000 N
```

formation energy without anion corrections = 1.153 eV per atom
D(E_F) = 3.9 states/eV/f.u.
space-group type = P4/mmm
mass density = 6265 kg/m³

---

First-principles (GGA-PBEsol) data for an optimized crystal structure of Y5Ni2Bi, as listed in Alexandria.

Cell and atoms, written as POSCAR:
```
Y5Ni2Bi
1.0
-5.619 2.760 -4.305
4.508 -6.477 -3.330
-5.029 -1.819 5.398
Ni Bi Y
4 2 10
Direct
0.869 0.000 0.369 Ni
0.369 0.000 0.131 Ni
0.631 0.000 0.869 Ni
0.131 0.000 0.631 Ni
0.750 0.500 0.750 Bi
0.250 0.500 0.250 Bi
0.478 0.269 0.978 Y
0.209 0.731 0.709 Y
0.291 0.269 0.478 Y
0.791 0.269 0.291 Y
0.500 0.000 0.500 Y
0.978 0.269 0.791 Y
0.000 0.000 0.000 Y
0.522 0.731 0.022 Y
0.022 0.731 0.209 Y
0.709 0.731 0.522 Y
```

D(E_F) = 7.6 states/eV/f.u.
space-group type = I4/mcm
ΔH_f (0 K) = -3.82 eV/f.u.
mass density = 6649 kg/m³